Record 1
12
Lattice="5.112 0.000 0.000 -2.556 4.427 0.000 0.000 0.000 7.663" Properties=species:S:1:pos:R:3 comment="KBa2NiH8, relaxed, DFT PBE-GGA" total_energy_ha_per_atom=-0.12532 dos_ef_per_ev_fu=4.10 pbc="T T T"
K 0.000 0.000 0.000
Ba 0.000 2.952 2.214
Ba 2.556 1.476 5.448
Ni 0.000 0.000 3.831
H 0.000 1.308 4.688
H -1.424 3.774 4.688
H 1.133 0.654 2.975
H 0.000 2.952 7.145
H 2.556 1.476 0.518
H 1.424 3.774 4.688
H 3.980 0.654 2.975
H 2.556 3.120 2.975


Record 2
16
Lattice="6.629 0.000 0.000 0.000 6.629 0.000 0.000 0.000 6.629" Properties=species:S:1:pos:R:3 comment="KBaHO, relaxed, DFT PBE-GGA" total_energy_ha_per_atom=-0.14580 dos_ef_per_ev_fu=0.00 pbc="T T T"
K 0.000 0.000 0.000
K 0.000 3.314 3.314
K 3.314 0.000 3.314
K 3.314 3.314 0.000
Ba 0.000 0.000 3.314
Ba 0.000 3.314 0.000
Ba 3.314 0.000 0.000
Ba 3.314 3.314 3.314
H 1.657 1.657 4.972
H 1.657 4.972 1.657
H 4.972 1.657 1.657
H 4.972 4.972 4.972
O 1.657 1.657 1.657
O 1.657 4.972 4.972
O 4.972 1.657 4.972
O 4.972 4.972 1.657


Record 3
8
Lattice="2.285 1.319 11.139 -2.285 1.319 11.139 0.000 -2.638 11.139" Properties=species:S:1:pos:R:3 comment="KBaHO, relaxed, DFT PBE-GGA" total_energy_ha_per_atom=-0.15119 dos_ef_per_ev_fu=0.00 pbc="T T T"
K 0.000 0.000 7.021
K 0.000 0.000 26.395
Ba 0.000 0.000 12.520
Ba 0.000 0.000 20.896
H 0.000 0.000 4.101
H 0.000 0.000 29.315
O 0.000 0.000 9.950
O 0.000 0.000 23.465


Record 4
16
Lattice="5.887 0.000 0.000 0.000 8.124 0.000 -2.881 0.000 5.317" Properties=species:S:1:pos:R:3 comment="KBaSiHO4, relaxed, DFT PBE-GGA" total_energy_ha_per_atom=-0.23244 dos_ef_per_ev_fu=0.00 pbc="T T T"
K -0.089 0.000 1.604
K 3.094 4.062 3.713
Ba -0.017 2.055 5.290
Ba 3.022 6.117 0.027
Si 0.092 4.193 2.011
Si 2.913 0.131 3.306
H -1.244 2.278 2.422
H 4.250 6.340 2.895
O -0.910 5.471 1.718
O -0.823 2.774 1.633
O 1.409 4.161 1.045
O 0.444 4.093 3.612
O 2.561 0.031 1.705
O 1.597 0.099 4.272
O 3.828 6.836 3.684
O 3.916 1.409 3.599


Record 5
5
Lattice="5.720 0.000 0.000 0.000 5.720 0.000 0.000 0.000 5.265" Properties=species:S:1:pos:R:3 comment="KBa2HPb, relaxed, DFT PBE-GGA" total_energy_ha_per_atom=-0.10139 dos_ef_per_ev_fu=0.93 pbc="T T T"
K 0.000 0.000 0.000
Ba 0.000 2.860 2.632
Ba 2.860 0.000 2.632
H 0.000 0.000 2.632
Pb 2.860 2.860 0.000


Record 6
12
Lattice="5.347 0.000 0.000 -2.674 4.631 0.000 0.000 0.000 7.210" Properties=species:S:1:pos:R:3 comment="K2BaH8Pd, relaxed, DFT PBE-GGA" total_energy_ha_per_atom=-0.11842 pbc="T T T"
K 0.000 3.087 2.317
K 2.674 1.544 4.893
Ba 0.000 0.000 0.000
H 0.000 1.329 4.572
H -1.523 3.966 4.572
H 1.151 0.665 2.638
H 0.000 3.087 6.898
H 2.674 1.544 0.311
H 1.523 3.966 4.572
H 4.196 0.665 2.638
H 2.674 3.302 2.638
Pd 0.000 0.000 3.605


Record 7
20
Lattice="3.887 -6.254 0.000 3.887 6.254 0.000 0.000 0.000 5.665" Properties=species:S:1:pos:R:3 comment="KBaH6Pd2, relaxed, DFT PBE-GGA" total_energy_ha_per_atom=-0.13363 dos_ef_per_ev_fu=1.98 pbc="T T T"
K 3.887 4.784 4.249
K 3.887 -4.784 1.416
Ba 3.887 2.022 1.416
Ba 3.887 -2.022 4.249
H 1.880 2.375 3.191
H 1.880 2.375 5.307
H 2.288 0.000 0.000
H 2.288 0.000 2.833
H 1.880 -2.375 0.358
H 1.880 -2.375 2.474
H 5.894 2.375 3.191
H 5.894 2.375 5.307
H 5.486 0.000 0.000
H 5.486 0.000 2.833
H 5.894 -2.375 0.358
H 5.894 -2.375 2.474
Pd 2.104 1.123 4.249
Pd 2.104 -1.123 1.416
Pd 5.671 1.123 4.249
Pd 5.671 -1.123 1.416


Record 8
14
Lattice="6.117 0.000 0.000 0.000 5.603 0.000 -2.983 0.000 8.425" Properties=species:S:1:pos:R:3 comment="KBaH4Pt, relaxed, DFT PBE-GGA" total_energy_ha_per_atom=-0.13396 dos_ef_per_ev_fu=1.64 pbc="T T T"
K 1.314 1.401 0.515
K 1.820 4.202 7.910
Ba 0.019 1.401 4.747
Ba 3.115 4.202 3.678
H -0.117 0.241 2.396
H -0.117 2.561 2.396
H -0.301 4.202 4.187
H 0.920 4.202 1.075
H 2.214 1.401 7.349
H 3.435 1.401 4.238
H 3.251 3.042 6.029
H 3.251 5.362 6.029
Pt 0.126 4.202 2.545
Pt 3.008 1.401 5.880


Record 9
12
Lattice="5.344 0.000 0.000 -2.672 4.628 0.000 0.000 0.000 7.223" Properties=species:S:1:pos:R:3 comment="K2BaH8Pt, relaxed, DFT PBE-GGA" total_energy_ha_per_atom=-0.12586 dos_ef_per_ev_fu=0.00 pbc="T T T"
K 0.000 3.086 2.314
K 2.672 1.543 4.909
Ba 0.000 0.000 0.000
H 0.000 1.344 4.577
H -1.509 3.957 4.577
H 1.164 0.672 2.646
H 0.000 3.086 6.919
H 2.672 1.543 0.304
H 1.509 3.957 4.577
H 4.181 0.672 2.646
H 2.672 3.285 2.646
Pt 0.000 0.000 3.611


Record 10
5
Lattice="7.283 0.000 0.000 0.000 7.283 0.000 0.000 0.000 5.226" Properties=species:S:1:pos:R:3 comment="K2RbBaH, relaxed, DFT PBE-GGA" total_energy_ha_per_atom=-0.06177 dos_ef_per_ev_fu=2.91 pbc="T T T"
K 0.000 3.641 0.000
K 3.641 0.000 0.000
Rb 0.000 0.000 2.613
Ba 3.641 3.641 2.613
H 3.641 3.641 0.000


Record 11
12
Lattice="6.249 0.000 0.000 -3.125 5.412 0.000 0.000 0.000 6.707" Properties=species:S:1:pos:R:3 comment="KBa3H6Rh2, relaxed, DFT PBE-GGA" total_energy_ha_per_atom=-0.13774 dos_ef_per_ev_fu=6.07 pbc="T T T"
K 0.000 0.000 0.000
Ba 0.000 0.000 3.354
Ba 0.000 3.608 1.510
Ba 3.125 1.804 5.197
H 0.000 1.946 5.120
H -1.440 4.439 5.120
H 1.685 0.973 1.588
H 1.440 4.439 5.120
H 4.564 0.973 1.588
H 3.125 3.467 1.588
Rh 0.000 3.608 4.807
Rh 3.125 1.804 1.900


Record 12
10
Lattice="5.839 0.000 0.000 -2.919 5.057 0.000 0.000 0.000 6.741" Properties=species:S:1:pos:R:3 comment="K2BaH6Rh, relaxed, DFT PBE-GGA" total_energy_ha_per_atom=-0.12885 dos_ef_per_ev_fu=2.13 pbc="T T T"
K 0.000 3.371 0.753
K 2.919 1.686 5.988
Ba 0.000 0.000 3.371
H 0.000 1.353 5.739
H -1.747 4.380 5.739
H 1.172 0.677 1.002
H 1.747 4.380 5.739
H 4.667 0.677 1.002
H 2.919 3.703 1.002
Rh 0.000 0.000 0.000


Record 13
12
Lattice="5.577 0.000 0.000 -2.789 4.830 0.000 0.000 0.000 6.857" Properties=species:S:1:pos:R:3 comment="K2BaH8Rh, relaxed, DFT PBE-GGA" total_energy_ha_per_atom=-0.12331 dos_ef_per_ev_fu=8.71 pbc="T T T"
K 0.000 3.220 2.523
K 2.789 1.610 4.334
Ba 0.000 0.000 0.000
H 0.000 1.338 4.441
H -1.630 4.161 4.441
H 1.158 0.669 2.416
H 0.000 3.220 6.670
H 2.789 1.610 0.187
H 1.630 4.161 4.441
H 4.419 0.669 2.416
H 2.789 3.492 2.416
Rh 0.000 0.000 3.429


Record 14
12
Lattice="5.286 0.000 0.000 -2.643 4.578 0.000 0.000 0.000 7.414" Properties=species:S:1:pos:R:3 comment="KBa2H8Rh, relaxed, DFT PBE-GGA" total_energy_ha_per_atom=-0.13520 dos_ef_per_ev_fu=0.00 pbc="T T T"
K 0.000 0.000 0.000
Ba 0.000 3.052 2.138
Ba 2.643 1.526 5.276
H 0.000 1.376 4.655
H -1.452 3.890 4.655
H 1.192 0.688 2.759
H 0.000 3.052 6.906
H 2.643 1.526 0.507
H 1.452 3.890 4.655
H 4.095 0.688 2.759
H 2.643 3.202 2.759
Rh 0.000 0.000 3.707


Record 15
20
Lattice="-4.075 4.075 4.075 4.075 -4.075 4.075 4.075 4.075 -4.075" Properties=species:S:1:pos:R:3 comment="KBa4H12Rh3, relaxed, DFT PBE-GGA" total_energy_ha_per_atom=-0.14496 dos_ef_per_ev_fu=6.93 pbc="T T T"
K 0.000 0.000 0.000
Ba 2.037 2.037 -2.037
Ba 2.037 -2.037 2.037
Ba -2.037 2.037 2.037
Ba 2.037 2.037 2.037
H 2.370 0.000 0.000
H 5.779 0.000 0.000
H 4.075 2.037 0.000
H 4.075 0.000 2.037
H 0.000 2.370 0.000
H 0.000 0.000 2.370
H 2.037 4.075 0.000
H 2.037 0.000 4.075
H 0.000 5.779 0.000
H 0.000 0.000 5.779
H 0.000 4.075 2.037
H 0.000 2.037 4.075
Rh 4.075 0.000 0.000
Rh 0.000 4.075 0.000
Rh 0.000 0.000 4.075


Record 16
10
Lattice="5.530 0.000 0.000 -2.765 4.789 0.000 0.000 0.000 7.428" Properties=species:S:1:pos:R:3 comment="KBa2H6Ru, relaxed, DFT PBE-GGA" total_energy_ha_per_atom=-0.14117 dos_ef_per_ev_fu=1.89 pbc="T T T"
K 0.000 0.000 0.000
Ba 0.000 3.193 4.883
Ba 2.765 1.596 2.545
H 0.000 1.413 2.703
H -1.542 4.083 2.703
H 1.223 0.706 4.725
H 1.542 4.083 2.703
H 4.307 0.706 4.725
H 2.765 3.376 4.725
Ru 0.000 0.000 3.714


Record 17
16
Lattice="7.618 0.000 0.000 0.000 7.618 0.000 0.000 0.000 7.618" Properties=species:S:1:pos:R:3 comment="KBaHSe, relaxed, DFT PBE-GGA" total_energy_ha_per_atom=-0.12647 dos_ef_per_ev_fu=0.00 pbc="T T T"
K 0.000 0.000 0.000
K 0.000 3.809 3.809
K 3.809 0.000 3.809
K 3.809 3.809 0.000
Ba 0.000 0.000 3.809
Ba 0.000 3.809 0.000
Ba 3.809 0.000 0.000
Ba 3.809 3.809 3.809
H 1.904 1.904 5.713
H 1.904 5.713 1.904
H 5.713 1.904 1.904
H 5.713 5.713 5.713
Se 1.904 1.904 1.904
Se 1.904 5.713 5.713
Se 5.713 1.904 5.713
Se 5.713 5.713 1.904


Record 18
5
Lattice="6.790 0.000 0.000 0.000 6.790 0.000 0.000 0.000 4.244" Properties=species:S:1:pos:R:3 comment="KBa2SiH, relaxed, DFT PBE-GGA" total_energy_ha_per_atom=-0.08656 dos_ef_per_ev_fu=3.09 pbc="T T T"
K 0.000 0.000 0.000
Ba 0.000 3.395 2.122
Ba 3.395 0.000 2.122
Si 3.395 3.395 2.122
H 3.395 3.395 0.000


Record 19
5
Lattice="6.310 0.000 0.000 0.000 6.310 0.000 0.000 0.000 4.213" Properties=species:S:1:pos:R:3 comment="KBa2SiH, relaxed, DFT PBE-GGA" total_energy_ha_per_atom=-0.08072 dos_ef_per_ev_fu=3.64 pbc="T T T"
K 0.000 0.000 0.000
Ba 0.000 3.155 0.000
Ba 3.155 0.000 0.000
Si 3.155 3.155 2.107
H 0.000 0.000 2.107


Record 20
5
Lattice="5.340 0.000 0.000 0.000 5.340 0.000 0.000 0.000 5.839" Properties=species:S:1:pos:R:3 comment="K2BaSnH, relaxed, DFT PBE-GGA" total_energy_ha_per_atom=-0.09384 dos_ef_per_ev_fu=5.56 pbc="T T T"
K 0.000 2.670 0.000
K 2.670 0.000 0.000
Ba 0.000 0.000 2.920
Sn 2.670 2.670 2.920
H 0.000 0.000 0.000


Record 21
5
Lattice="5.808 0.000 0.000 0.000 5.808 0.000 0.000 0.000 6.532" Properties=species:S:1:pos:R:3 comment="KBaSr2H, relaxed, DFT PBE-GGA" total_energy_ha_per_atom=-0.07078 dos_ef_per_ev_fu=4.61 pbc="T T T"
K 0.000 0.000 0.000
Ba 2.904 2.904 0.000
Sr 0.000 2.904 3.266
Sr 2.904 0.000 3.266
H 0.000 0.000 3.266


Record 22
5
Lattice="6.011 0.000 0.000 0.000 6.011 0.000 0.000 0.000 6.073" Properties=species:S:1:pos:R:3 comment="KBaSr2H, relaxed, DFT PBE-GGA" total_energy_ha_per_atom=-0.07218 dos_ef_per_ev_fu=3.46 pbc="T T T"
K 0.000 0.000 0.000
Ba 3.006 3.006 0.000
Sr 0.000 3.006 3.036
Sr 3.006 0.000 3.036
H 3.006 3.006 3.036


Record 23
5
Lattice="5.309 0.000 0.000 0.000 5.309 0.000 0.000 0.000 5.634" Properties=species:S:1:pos:R:3 comment="K2BaTeH, relaxed, DFT PBE-GGA" total_energy_ha_per_atom=-0.10025 dos_ef_per_ev_fu=2.46 pbc="T T T"
K 0.000 2.654 0.000
K 2.654 0.000 0.000
Ba 0.000 0.000 2.817
Te 2.654 2.654 2.817
H 0.000 0.000 0.000